DFT (PBE+U) results for an optimized crystal structure of Li2MnPCO7.

abc: 5.048 6.369 8.572
angles: 95.35 95.12 93.10
Fractional coordinates of all 24 atoms:
Li 0.000 0.000 0.000
Li 0.064 0.607 0.662
Li 0.577 0.880 0.500
Li 0.896 0.426 0.005
Mn 0.104 0.209 0.418
Mn 0.463 0.704 0.091
P 0.019 0.706 0.332
P 0.545 0.212 0.171
C 0.587 0.723 0.806
C 0.987 0.204 0.699
O 0.045 0.527 0.439
O 0.122 0.639 0.168
O 0.195 0.899 0.415
O 0.214 0.291 0.673
O 0.337 0.721 0.821
O 0.385 0.011 0.086
O 0.439 0.271 0.331
O 0.513 0.395 0.062
O 0.697 0.716 0.679
O 0.726 0.760 0.303
O 0.744 0.730 0.943
O 0.835 0.135 0.566
O 0.848 0.177 0.189
O 0.906 0.190 0.834

Crystal system: triclinic
Polymorph energy (0 for the lowest one) (eV per atom): 0.014
Calculated volume (Å³ per atom): 11.365